(1)
DyOF3 (PBE, optimized geometry); raw formation energy = -2.7093 eV per atom; space group = P2_1/c, No. 14; total moment = 0.40 μB/atom
1.0
-2.447 -6.000 3.119
4.250 0.373 4.052
-4.988 3.807 3.409
O F Dy
4 12 4
Direct
0.249 0.083 0.712
0.751 0.917 0.288
0.749 0.417 0.788
0.251 0.583 0.212
0.450 0.691 0.450
0.050 0.690 0.448
0.251 0.609 0.800
0.950 0.809 0.050
0.550 0.810 0.052
0.450 0.190 0.948
0.749 0.391 0.200
0.950 0.310 0.552
0.249 0.109 0.300
0.550 0.309 0.550
0.751 0.891 0.700
0.050 0.191 0.950
0.750 0.586 0.484
0.250 0.914 0.016
0.250 0.414 0.516
0.750 0.086 0.984

(2)
Dy2PtO4F (PBE, optimized geometry); raw formation energy = -2.5398 eV per atom; space group = C2/m, No. 12; total moment = 0.00 μB/atom; DOS at the Fermi energy = 1.45 states/eV per cell
1.0
3.469 0.000 0.000
1.734 4.779 0.591
1.734 1.718 6.144
O F Dy Pt
4 1 2 1
Direct
0.376 0.301 0.947
0.169 0.983 0.680
0.831 0.017 0.320
0.624 0.699 0.053
0.500 0.500 0.500
0.186 0.333 0.295
0.814 0.667 0.705
0.000 0.000 0.000

(3)
DyPuO4F (PBE, optimized geometry); raw formation energy = -2.8968 eV per atom; space group = C2/m, No. 12; total moment = 0.29 μB/atom; DOS at the Fermi energy = 11.20 states/eV per cell
1.0
-3.558 4.646 -2.209
-4.711 2.355 3.375
4.712 4.655 2.882
O Dy F Pu
8 2 2 2
Direct
0.196 0.196 0.488
0.804 0.804 0.512
0.502 0.932 0.817
0.507 0.507 0.316
0.068 0.498 0.183
0.498 0.068 0.183
0.932 0.502 0.817
0.493 0.493 0.684
0.165 0.165 0.984
0.835 0.835 0.016
0.986 0.986 0.824
0.014 0.014 0.176
0.347 0.347 0.391
0.653 0.653 0.609

(4)
DySO4F2 (PBE, optimized geometry); raw formation energy = -2.2827 eV per atom; space group = Pmn2_1, No. 31; total moment = 0.13 μB/atom; DOS at the Fermi energy = 5.42 states/eV per cell
1.0
-3.499 -1.024 3.855
-2.952 -5.395 -4.112
3.652 -3.763 2.315
F O Dy S
4 8 2 2
Direct
0.422 0.446 0.243
0.422 0.446 0.757
0.922 0.554 0.257
0.922 0.554 0.743
0.873 0.903 0.000
0.932 0.187 0.209
0.432 0.813 0.291
0.780 0.947 0.500
0.932 0.187 0.791
0.280 0.053 0.000
0.432 0.813 0.709
0.373 0.097 0.500
0.135 0.378 0.500
0.635 0.622 0.000
0.503 0.923 0.500
0.003 0.077 0.000